1.
## MgMnO2 (PBE+U)

Data for a relaxed structure of MgMnO2.

E_tot in eV per atom: -6.824

```
MgMnO2
1.0
10.423 0.000 0.000
0.000 3.069 0.000
0.000 0.000 5.336
Mg Mn O
4 4 8
Cartesian
1.267 0.767 0.430
3.945 2.302 3.098
6.478 0.767 2.238
9.156 2.302 4.906
1.272 2.302 3.111
3.939 0.767 0.443
6.484 2.302 4.893
9.151 0.767 2.225
0.059 2.302 1.259
2.561 2.302 4.894
2.650 0.767 2.226
5.153 0.767 3.927
5.270 2.302 1.409
7.773 2.302 3.110
7.862 0.767 0.442
10.364 0.767 4.077
```



2.
## MgMn4O8 (PBE+U)

Data for a relaxed structure of MgMn4O8.

Distance to the lowest polymorph of the same formula in eV/atom: 0.003

```
MgMn4O8
1.0
-2.915 2.933 4.420
2.915 -2.933 4.420
2.915 2.933 -4.420
Mg Mn O
1 4 8
Cartesian
0.000 0.000 0.000
2.915 1.489 -1.006
0.000 1.444 3.414
1.490 2.933 1.188
1.424 0.000 5.608
0.000 1.616 1.198
1.618 2.933 -0.732
1.296 0.000 3.688
2.915 1.676 1.216
0.000 1.257 5.636
0.000 4.249 1.198
-1.315 2.933 3.205
1.315 2.933 3.205
```



3.
## MgMn2O4 (PBE+U)

Data for a relaxed structure of MgMn2O4.

Distance to the lowest polymorph of the same formula in eV/atom: 0.038

```
MgMn2O4
1.0
5.022 -2.850 0.000
5.022 2.850 0.000
-0.070 0.000 10.893
Mg Mn O
4 8 16
Cartesian
2.476 1.425 5.447
4.969 2.786 8.170
2.511 -1.425 0.000
5.004 -2.786 2.723
4.738 1.412 0.190
2.727 0.042 8.325
5.271 1.412 5.257
2.762 -0.042 2.879
7.212 0.042 8.014
4.703 -1.412 5.636
7.247 -0.042 2.568
5.236 -1.412 10.703
3.474 1.541 7.323
0.958 0.083 6.308
3.589 1.495 1.990
0.994 -0.083 0.861
3.879 0.079 4.724
6.420 1.495 3.457
6.464 1.541 9.017
3.844 -0.079 10.171
6.130 0.079 0.722
3.510 -1.541 1.876
3.554 -1.495 7.436
6.094 -0.079 6.169
8.980 0.083 10.032
6.385 -1.495 8.903
9.015 -0.083 4.585
6.499 -1.541 3.570
```